{"formula": "CaEr2Te4", "functional": "PBE-GGA", "state": "optimized geometry", "e_form_raw_ev_per_atom": -1.423, "final_energy_ev_per_atom": -4.808, "spacegroup": "Cmcm", "total_magnetization_mub_per_atom": 0.000, "lattice": [[-2.009, 2.260, -3.089], [-4.646, -0.321, 5.811], [5.932, 12.714, 5.446]], "species": ["Te", "Te", "Te", "Te", "Te", "Te", "Te", "Te", "Er", "Er", "Er", "Er", "Ca", "Ca"], "frac_coords": [[0.956, 0.911, 0.750], [0.775, 0.550, 0.118], [0.225, 0.450, 0.882], [0.225, 0.450, 0.618], [0.775, 0.550, 0.382], [0.500, 0.000, 0.500], [0.500, 0.000, 0.000], [0.044, 0.089, 0.250], [0.866, 0.731, 0.930], [0.134, 0.269, 0.430], [0.134, 0.269, 0.070], [0.866, 0.731, 0.570], [0.615, 0.230, 0.750], [0.385, 0.770, 0.250]]}

=====

{"formula": "Ag2PdAuI6", "functional": "PBE-GGA", "state": "optimized geometry", "e_form_raw_ev_per_atom": -0.138, "final_energy_ev_per_atom": -2.485, "spacegroup": "P-1", "total_magnetization_mub_per_atom": 0.000, "lattice": [[-6.942, 0.140, -2.873], [-5.164, -2.902, 4.143], [-1.277, 5.353, 5.513]], "species": ["Au", "Pd", "I", "I", "I", "I", "I", "I", "Ag", "Ag"], "frac_coords": [[0.816, 0.816, 0.551], [0.316, 0.316, 0.051], [0.654, 0.243, 0.263], [0.978, 0.389, 0.840], [0.306, 0.672, 0.842], [0.991, 0.603, 0.324], [0.641, 0.029, 0.779], [0.327, 0.961, 0.261], [0.004, 0.946, 0.028], [0.628, 0.687, 0.075]]}

=====

{"formula": "InNiPd6", "functional": "PBE-GGA", "state": "optimized geometry", "final_energy_ev_per_atom": -5.022, "spacegroup": "P-1", "total_magnetization_mub_per_atom": 0.163, "formation_enthalpy_0k_ev_per_fu": -0.5, "lattice": [[6.914, 0.257, -0.090], [3.667, 6.410, 0.029], [3.399, 2.250, 2.978]], "species": ["Pd", "Pd", "Pd", "Pd", "Pd", "Pd", "Ni", "In"], "frac_coords": [[0.556, 0.753, 0.655], [0.960, 0.438, 0.849], [0.247, 0.039, 0.269], [0.040, 0.562, 0.151], [0.753, 0.961, 0.731], [0.444, 0.247, 0.345], [0.000, 0.000, 0.000], [0.500, 0.500, 0.500]]}

=====

{"formula": "Tb2PrDyY2", "functional": "PBE-GGA", "state": "optimized geometry", "final_energy_ev_per_atom": -4.997, "spacegroup": "Pnnm", "total_magnetization_mub_per_atom": 0.000, "formation_enthalpy_0k_ev_per_fu": 1.6, "lattice": [[3.418, 0.000, 0.000], [0.000, 6.575, 0.000], [0.000, 0.000, 17.889]], "species": ["Y", "Y", "Y", "Y", "Tb", "Tb", "Tb", "Tb", "Dy", "Dy", "Pr", "Pr"], "frac_coords": [[0.500, 0.277, 0.314], [0.000, 0.223, 0.814], [0.500, 0.723, 0.686], [0.000, 0.777, 0.186], [0.000, 0.280, 0.148], [0.000, 0.720, 0.852], [0.500, 0.780, 0.352], [0.500, 0.220, 0.648], [0.000, 0.000, 0.500], [0.500, 0.500, 0.000], [0.500, 0.500, 0.500], [0.000, 0.000, 0.000]]}

=====

{"formula": "TlIn2CuHg", "functional": "PBE-GGA", "state": "optimized geometry", "final_energy_ev_per_atom": -2.329, "spacegroup": "P4/mmm", "total_magnetization_mub_per_atom": 0.000, "formation_enthalpy_0k_ev_per_fu": 0.6, "lattice": [[5.171, 0.000, 0.000], [0.000, 5.171, 0.000], [0.000, 0.000, 5.109]], "species": ["Hg", "In", "In", "Cu", "Tl"], "frac_coords": [[0.000, 0.000, 0.500], [0.000, 0.500, 0.000], [0.500, 0.000, 0.000], [0.000, 0.000, 0.000], [0.500, 0.500, 0.500]]}

=====

{"formula": "ThAg3Hg", "functional": "PBE-GGA", "state": "optimized geometry", "final_energy_ev_per_atom": -3.240, "spacegroup": "Cmmm", "total_magnetization_mub_per_atom": 0.000, "formation_enthalpy_0k_ev_per_fu": 0.1, "lattice": [[3.269, 0.000, 0.000], [0.000, 4.909, 0.000], [0.000, -2.454, 14.503]], "species": ["Ag", "Ag", "Ag", "Ag", "Ag", "Ag", "Th", "Th", "Hg", "Hg"], "frac_coords": [[0.000, 0.068, 0.135], [0.000, 0.727, 0.453], [0.000, 0.932, 0.865], [0.500, 0.546, 0.092], [0.000, 0.273, 0.547], [0.500, 0.454, 0.908], [0.500, 0.824, 0.648], [0.500, 0.176, 0.352], [0.000, 0.626, 0.252], [0.000, 0.374, 0.748]]}